[1]
This record from the Alexandria database describes a relaxed structure of BaAc2NiO5. The functional is PBE with a Hubbard U.

abc: 7.1242 7.1242 11.9058
angles: 90.00 90.00 90.00
With the nearest neighbours (Å) after each atom.
Space group I4/mcm (No. 140)
Inequivalent atoms, fractional coordinates:
1 Ba 0.0000 0.0000 0.2500  10 O 2.98-3.08
2 Ac 0.1749 0.3251 0.0000  4 O 2.46-2.63
3 Ni 0.0000 0.5000 0.2500  4 O 1.97
4 O 0.0000 0.0000 0.0000  4 Ac 2.63
5 O 0.1396 0.3604 0.3659  1 Ni 1.97

Properties
For the magnetization, the calculation gives 1.98 μB per formula unit. The energy comes out at -0.249 Ha/atom.

---

[2]
This record from the Alexandria database describes a relaxed structure of BaAcNiO4. The functional is PBE with a Hubbard U.

abc: 3.9962 3.9962 13.0515
angles: 90.00 90.00 90.00
With the nearest neighbours (Å) after each atom.
Space group I4mm (No. 107)
Inequivalent atoms, fractional coordinates:
1 Ba 0.0000 0.0000 0.0000  9 O 2.64-2.85
2 Ac 0.0000 0.0000 0.7213  9 O 2.54-2.84
3 Ni 0.0000 0.0000 0.3610  6 O 2.00-2.16
4 O 0.0000 0.0000 0.2021  1 Ni 2.07
5 O 0.0000 0.0000 0.5267  1 Ni 2.16
6 O 0.0000 0.5000 0.3497  2 Ni 2.00

Properties
For the magnetization, the calculation gives 0.99 μB per formula unit. The energy comes out at -0.232 Ha/atom.

---

Which formula does entry 2 have?
BaAcNiO4